Record 1
The following is a SCAN calculation of a PBEsol-optimized structure of AlW3, from Alexandria via LeMat-Bulk.

Summary:
Its formation energy is 131 meV/atom. As for the total energy: -54.073 eV per atom. The total magnetic moment comes out at 0.00 μB per cell. The calculated volume is 15.300 A^3/atom.

Cell lengths 4.325, 4.325, 3.272 Å; angles 90.00, 90.00, 90.00 degrees
Space group P4/mmm (No. 123)
One atom of each set of equivalent atoms:
Al 0.000 0.000 0.000
W 0.000 0.500 0.500
W 0.500 0.500 0.000

Record 2
The following is a SCAN calculation of a PBEsol-optimized structure of Al2W, from Alexandria via LeMat-Bulk.

Summary:
Its formation energy is -10 meV/atom. As for the total energy: -28.408 eV per atom. The total magnetic moment comes out at 0.00 μB per cell. The calculated volume is 15.102 A^3/atom.

Cell lengths 4.8243, 4.8243, 6.7431 Å; angles 90.00, 90.00, 120.00 degrees
Space group P6_422 (No. 181)
One atom of each set of equivalent atoms:
Al 0.1686 0.3371 0.0000
W 0.0000 0.5000 0.3333

Record 3
The following is a SCAN calculation of a PBEsol-optimized structure of Al2W, from Alexandria via LeMat-Bulk.

Summary:
Its formation energy is -66 meV/atom. As for the total energy: -28.464 eV per atom. The total magnetic moment comes out at 0.07 μB per cell. The calculated volume is 14.904 A^3/atom.

Cell lengths 4.939, 4.366, 8.293 Å; angles 90.00, 90.00, 90.00 degrees
Space group Pnma (No. 62)
One atom of each set of equivalent atoms:
Al 0.153 0.250 0.019
Al 0.156 0.250 0.682
W 0.144 0.250 0.353

Record 4
The following is a SCAN calculation of a PBEsol-optimized structure of Al3W, from Alexandria via LeMat-Bulk.

Summary:
Its formation energy is -124 meV/atom. As for the total energy: -23.360 eV per atom. The total magnetic moment comes out at 0.93 μB per cell. The calculated volume is 14.889 A^3/atom.

Cell lengths 3.651, 3.971, 8.216 Å; angles 90.00, 90.00, 90.00 degrees
Space group Immm (No. 71)
One atom of each set of equivalent atoms:
Al 0.000 0.000 0.000
Al 0.000 0.500 0.250
W 0.000 0.000 0.500

Record 5
The following is a SCAN calculation of a PBEsol-optimized structure of AlW3, from Alexandria via LeMat-Bulk.

Summary:
Its formation energy is -23 meV/atom. As for the total energy: -54.227 eV per atom. The total magnetic moment comes out at 0.00 μB per cell. The calculated volume is 15.357 A^3/atom.

Cell lengths 8.858, 6.247, 4.440 Å; angles 90.00, 90.00, 90.00 degrees
Space group Cmcm (No. 63)
One atom of each set of equivalent atoms:
Al 0.000 0.127 0.250
W 0.000 0.380 0.750
W 0.245 0.131 0.750

Record 6
The following is a SCAN calculation of a PBEsol-optimized structure of Al2W, from Alexandria via LeMat-Bulk.

Summary:
Its formation energy is -37 meV/atom. As for the total energy: -28.434 eV per atom. The total magnetic moment comes out at 0.00 μB per cell. The calculated volume is 14.898 A^3/atom.

Cell lengths 4.4022, 4.4022, 2.6630 Å; angles 90.00, 90.00, 120.00 degrees
Space group P-3m1 (No. 164)
One atom of each set of equivalent atoms:
Al 0.3333 0.6667 0.4445
W 0.0000 0.0000 0.0000

Record 7
The following is a SCAN calculation of a PBEsol-optimized structure of AlW5, from Alexandria via LeMat-Bulk.

Summary:
Its formation energy is 24 meV/atom. As for the total energy: -59.341 eV per atom. The total magnetic moment comes out at 0.00 μB per cell. The calculated volume is 15.488 A^3/atom.

Cell lengths 3.163, 13.263, 4.431 Å; angles 90.00, 90.00, 90.00 degrees
Space group Cmmm (No. 65)
One atom of each set of equivalent atoms:
Al 0.000 0.000 0.000
W 0.000 0.162 0.500
W 0.000 0.329 0.000
W 0.000 0.500 0.500

Record 8
The following is a SCAN calculation of a PBEsol-optimized structure of Al12W, from Alexandria via LeMat-Bulk.

Summary:
Its formation energy is -77 meV/atom. As for the total energy: -12.594 eV per atom. The total magnetic moment comes out at 0.05 μB per cell. The calculated volume is 16.458 A^3/atom.

Cell lengths 7.536, 7.536, 7.536 Å; angles 90.00, 90.00, 90.00 degrees
Space group Im-3 (No. 204)
One atom of each set of equivalent atoms:
Al 0.000 0.185 0.309
W 0.000 0.000 0.000

Record 9
The following is a SCAN calculation of a PBEsol-optimized structure of AlW3, from Alexandria via LeMat-Bulk.

Summary:
Its formation energy is 10 meV/atom. As for the total energy: -54.194 eV per atom. The total magnetic moment comes out at 0.00 μB per cell. The calculated volume is 15.347 A^3/atom.

Cell lengths 3.170, 4.407, 8.788 Å; angles 90.00, 90.00, 90.00 degrees
Space group Immm (No. 71)
One atom of each set of equivalent atoms:
Al 0.000 0.000 0.000
W 0.000 0.000 0.500
W 0.000 0.500 0.242

Record 10
The following is a SCAN calculation of a PBEsol-optimized structure of AlW, from Alexandria via LeMat-Bulk.

Summary:
Its formation energy is -139 meV/atom. As for the total energy: -38.859 eV per atom. The total magnetic moment comes out at 0.00 μB per cell. The calculated volume is 15.203 A^3/atom.

Cell lengths 3.239, 3.239, 5.798 Å; angles 90.00, 90.00, 90.00 degrees
Space group P4/nmm (No. 129, origin choice 2)
One atom of each set of equivalent atoms:
Al 0.250 0.250 0.125
W 0.250 0.250 0.618

Record 11
The following is a SCAN calculation of a PBEsol-optimized structure of Al3W, from Alexandria via LeMat-Bulk.

Summary:
Its formation energy is 69 meV/atom. As for the total energy: -23.167 eV per atom. The total magnetic moment comes out at 0.04 μB per cell. The calculated volume is 15.714 A^3/atom.

Cell lengths 2.8313, 2.8313, 9.0544 Å; angles 90.00, 90.00, 120.00 degrees
Space group P-6m2 (No. 187)
One atom of each set of equivalent atoms:
Al 0.0000 0.0000 0.0000
Al 0.6667 0.3333 0.2576
W 0.0000 0.0000 0.5000

Record 12
The following is a SCAN calculation of a PBEsol-optimized structure of YAlW2, from Alexandria via LeMat-Bulk.

Summary:
Its formation energy is 568 meV/atom. As for the total energy: -43.174 eV per atom. The total magnetic moment comes out at 0.00 μB per cell. The calculated volume is 17.571 A^3/atom.

Cell lengths 2.8579, 2.8579, 29.8099 Å; angles 90.00, 90.00, 120.00 degrees
Space group R-3m (No. 166, hexagonal axes)
One atom of each set of equivalent atoms:
Y 0.0000 0.0000 0.0000
Al 0.0000 0.0000 0.5000
W 0.0000 0.0000 0.2413

Density of states at the Fermi level across the listed records, respectively: 3.06 6.50 4.10 3.20 4.21 1.28 5.45 8.06 5.05 1.79 2.24 10.63 states/eV/cell.